# YSc5Ru6

YSc5Ru6 after structural relaxation (PBE, Alexandria via LeMat-Bulk).

Lattice parameters (Å, degrees): 7.9291 7.9291 7.9291 146.34 131.47 60.36
Fractional coordinates of all 12 atoms:
Y  0.0000  0.0000  0.0000
Sc  0.1697  0.6697  0.5000
Sc  0.3331  0.3331  0.0000
Sc  0.5000  0.0000  0.5000
Sc  0.6669  0.6669  0.0000
Sc  0.8303  0.3303  0.5000
Ru  0.0843  0.8301  0.2543
Ru  0.2588  0.5000  0.7588
Ru  0.4242  0.1699  0.2543
Ru  0.5758  0.8301  0.7457
Ru  0.7412  0.5000  0.2412
Ru  0.9157  0.1699  0.7457

crystal system = orthorhombic
space group = Immm, No. 71
energy relative to the elements = -0.4777 eV per atom
total DFT energy (no corrections) = -8.292 eV/atom

# PaAlFe3

PaAlFe3 after structural relaxation (PBE, Alexandria via LeMat-Bulk).

Lattice parameters (Å, degrees): 5.5982 5.5982 5.2694 90.00 90.00 109.10
Fractional coordinates of all 10 atoms:
Pa  0.1834  0.8166  0.7500
Pa  0.8166  0.1834  0.2500
Al  0.5000  0.5000  0.0000
Al  0.5000  0.5000  0.5000
Fe  0.1353  0.2593  0.7500
Fe  0.2593  0.1353  0.2500
Fe  0.2710  0.7290  0.2500
Fe  0.7290  0.2710  0.7500
Fe  0.7407  0.8647  0.7500
Fe  0.8647  0.7407  0.2500

crystal system = orthorhombic
space group = Cmcm, No. 63
energy relative to the elements = 0.0525 eV per atom
total DFT energy (no corrections) = -7.673 eV/atom

# ZrPRu2

ZrPRu2 after structural relaxation (PBE, Alexandria via LeMat-Bulk).

Lattice parameters (Å, degrees): 3.0700 4.3810 4.7704 90.00 101.85 90.00
Fractional coordinates of all 4 atoms:
Zr  0.0000  0.0000  0.0000
P  0.5206  0.5000  0.2657
Ru  0.1678  0.5000  0.6810
Ru  0.5778  0.0000  0.4820

crystal system = monoclinic
space group = Pm, No. 6
energy relative to the elements = -0.4030 eV per atom
total DFT energy (no corrections) = -8.530 eV/atom

# Li2AcAgN

Li2AcAgN after structural relaxation (PBE, Alexandria via LeMat-Bulk).

Lattice parameters (Å, degrees): 6.7558 6.7558 7.5817 90.00 90.00 147.05
Fractional coordinates of all 10 atoms:
Li  0.1520  0.8480  0.5507
Li  0.1520  0.8480  0.9493
Li  0.8480  0.1520  0.0507
Li  0.8480  0.1520  0.4493
Ac  0.4669  0.5331  0.7500
Ac  0.5331  0.4669  0.2500
Ag  0.2632  0.7368  0.2500
Ag  0.7368  0.2632  0.7500
N  0.0000  0.0000  0.0000
N  0.0000  0.0000  0.5000

crystal system = orthorhombic
space group = Cmcm, No. 63
E_form (uncorrected) = -10.9 kcal/mol of atoms
total DFT energy (no corrections) = -4.294 eV/atom

# Rb2PaH3O3

Rb2PaH3O3 after structural relaxation (PBE, Alexandria via LeMat-Bulk).

Lattice parameters (Å, degrees): 6.6065 6.6065 4.1914 90.00 90.00 120.00
Fractional coordinates of all 9 atoms:
Rb  0.3333  0.6667  0.0000
Rb  0.6667  0.3333  0.0000
Pa  0.0000  0.0000  0.5000
H  0.0000  0.8537  0.0000
H  0.1463  0.1463  0.0000
H  0.8537  0.0000  0.0000
O  0.0000  0.3054  0.5000
O  0.3054  0.0000  0.5000
O  0.6946  0.6946  0.5000

crystal system = hexagonal
space group = P-62m, No. 189
total DFT energy (no corrections) = -5.224 eV/atom

# Tb2PmCdRh4

Tb2PmCdRh4 after structural relaxation (PBE, Alexandria via LeMat-Bulk).

Lattice parameters (Å, degrees): 8.3234 8.3234 8.3234 33.61 33.61 33.61
Fractional coordinates of all 8 atoms:
Tb  0.2424  0.2424  0.2424
Tb  0.7576  0.7576  0.7576
Pm  0.0000  0.0000  0.0000
Cd  0.5000  0.5000  0.5000
Rh  0.1228  0.1228  0.1228
Rh  0.3763  0.3763  0.3763
Rh  0.6237  0.6237  0.6237
Rh  0.8772  0.8772  0.8772

crystal system = trigonal
space group = R-3m, No. 166
energy relative to the elements = -0.6781 eV per atom
total DFT energy (no corrections) = -6.220 eV/atom

What is the formula in the sixth record? Tb2PmCdRh4

Which value of total DFT energy (no corrections) does entry 1 give? -8.292 eV/atom